# 1
Computed, not measured: VRe2Ru after structural relaxation at the PBE-GGA level of DFT.

extended XYZ file:
```
16
Lattice="6.136 0.000 0.000 0.000 6.136 0.000 0.000 0.000 6.136" Properties=species:S:1:pos:R:3 pbc="T T T"
V 0.000 0.000 0.000
V 0.000 3.068 3.068
V 3.068 0.000 3.068
V 3.068 3.068 0.000
Re 1.534 1.534 1.534
Re 1.534 1.534 4.602
Re 1.534 4.602 1.534
Re 1.534 4.602 4.602
Re 4.602 1.534 1.534
Re 4.602 1.534 4.602
Re 4.602 4.602 1.534
Re 4.602 4.602 4.602
Ru 0.000 0.000 3.068
Ru 0.000 3.068 0.000
Ru 3.068 0.000 0.000
Ru 3.068 3.068 3.068
```

Output
E: -42.68 eV per formula unit
total magnetization: 0.01 Bohr magnetons per cell
D(E_F): 5.91 states/eV/f.u.
energy of formation from the pure elements: 0.153 eV per atom

***

# 2
Computed, not measured: CaLa2Nd6Er3 after structural relaxation at the PBE-GGA level of DFT.

extended XYZ file:
```
12
Lattice="3.175 -5.502 0.000 3.175 5.502 0.000 -2.114 0.000 11.886" Properties=species:S:1:pos:R:3 pbc="T T T"
Ca 0.000 0.000 0.000
La 3.175 1.838 0.000
La 3.175 -1.838 0.000
Nd 1.073 1.854 3.074
Nd 0.021 0.000 8.804
Nd 1.073 -1.854 3.074
Nd 3.162 1.854 8.812
Nd 4.215 0.000 3.082
Nd 3.162 -1.854 8.812
Er 2.118 3.676 5.943
Er 2.118 0.000 5.943
Er 2.118 -3.676 5.943
```

Output
E: -53.76 eV per formula unit
total magnetization: 0.00 Bohr magnetons per cell
D(E_F): 14.41 states/eV/f.u.
energy of formation from the pure elements: 0.033 eV per atom